#one
Ta2SiP | GGA-PBEsol | relaxed

```
data_Ta2SiP
_cell_length_a 2.953
_cell_length_b 3.598
_cell_length_c 5.880
_cell_angle_alpha 90.00
_cell_angle_beta 102.73
_cell_angle_gamma 90.00
_symmetry_space_group_name_H-M 'P 1 2/m 1'
_symmetry_Int_Tables_number 10
_symmetry_space_group_name_Hall '-P 2y'
loop_
_atom_site_label
_atom_site_type_symbol
_atom_site_fract_x
_atom_site_fract_y
_atom_site_fract_z
_atom_site_occupancy
Ta1 Ta 0.211 0.000 0.256 1
Si1 Si 0.500 0.500 0.000 1
P1 P 0.000 0.500 0.500 1
```

***

#two
Ta2SiP | GGA-PBEsol | relaxed

```
data_Ta2SiP
_cell_length_a 6.282
_cell_length_b 6.282
_cell_length_c 6.282
_cell_angle_alpha 90.00
_cell_angle_beta 90.00
_cell_angle_gamma 90.00
_symmetry_space_group_name_H-M 'F -4 3 m'
_symmetry_Int_Tables_number 216
_symmetry_space_group_name_Hall 'F -4 2 3'
loop_
_atom_site_label
_atom_site_type_symbol
_atom_site_fract_x
_atom_site_fract_y
_atom_site_fract_z
_atom_site_occupancy
Ta1 Ta 0.000 0.000 0.000 1
Ta2 Ta 0.250 0.250 0.250 1
Si1 Si 0.250 0.250 0.750 1
P1 P 0.000 0.000 0.500 1
```

***

#three
Ta2SiP | GGA-PBEsol | relaxed

```
data_Ta2SiP
_cell_length_a 6.212
_cell_length_b 6.212
_cell_length_c 6.212
_cell_angle_alpha 90.00
_cell_angle_beta 90.00
_cell_angle_gamma 90.00
_symmetry_space_group_name_H-M 'F m -3 m'
_symmetry_Int_Tables_number 225
_symmetry_space_group_name_Hall '-F 4 2 3'
loop_
_atom_site_label
_atom_site_type_symbol
_atom_site_fract_x
_atom_site_fract_y
_atom_site_fract_z
_atom_site_occupancy
Ta1 Ta 0.250 0.250 0.250 1
Si1 Si 0.000 0.000 0.000 1
P1 P 0.000 0.000 0.500 1
```

***

Most stable structure - #three; separation to the second - 0.031 eV/atom.

***

#one
SiTeP2 | GGA-PBEsol | relaxed

```
data_SiTeP2
_cell_length_a 6.519
_cell_length_b 6.519
_cell_length_c 6.519
_cell_angle_alpha 90.00
_cell_angle_beta 90.00
_cell_angle_gamma 90.00
_symmetry_space_group_name_H-M 'F m -3 m'
_symmetry_Int_Tables_number 225
_symmetry_space_group_name_Hall '-F 4 2 3'
loop_
_atom_site_label
_atom_site_type_symbol
_atom_site_fract_x
_atom_site_fract_y
_atom_site_fract_z
_atom_site_occupancy
Si1 Si 0.000 0.000 0.000 1
Te1 Te 0.000 0.000 0.500 1
P1 P 0.250 0.250 0.250 1
```

***

#two
SiTeP2 | GGA-PBEsol | relaxed

```
data_SiTeP2
_cell_length_a 3.6341
_cell_length_b 3.6341
_cell_length_c 19.0131
_cell_angle_alpha 90.00
_cell_angle_beta 90.00
_cell_angle_gamma 120.00
_symmetry_space_group_name_H-M 'R -3 m'
_symmetry_Int_Tables_number 166
_symmetry_space_group_name_Hall '-R 3 2"'
loop_
_atom_site_label
_atom_site_type_symbol
_atom_site_fract_x
_atom_site_fract_y
_atom_site_fract_z
_atom_site_occupancy
Si1 Si 0.0000 0.0000 0.0000 1
Te1 Te 0.0000 0.0000 0.5000 1
P1 P 0.0000 0.0000 0.2663 1
```

***

Most stable structure - #two; separation to the second - 0.485 eV/atom.

***

#one
Tl2SiP | GGA-PBEsol | relaxed

```
data_Tl2SiP
_cell_length_a 6.092
_cell_length_b 6.092
_cell_length_c 11.840
_cell_angle_alpha 90.00
_cell_angle_beta 90.00
_cell_angle_gamma 90.00
_symmetry_space_group_name_H-M 'I -4 2 d'
_symmetry_Int_Tables_number 122
_symmetry_space_group_name_Hall 'I -4 2bw'
loop_
_atom_site_label
_atom_site_type_symbol
_atom_site_fract_x
_atom_site_fract_y
_atom_site_fract_z
_atom_site_occupancy
Tl1 Tl 0.249 0.250 0.125 1
Si1 Si 0.000 0.000 0.500 1
P1 P 0.000 0.000 0.000 1
```

***

#two
Tl2SiP | GGA-PBEsol | relaxed

```
data_Tl2SiP
_cell_length_a 3.920
_cell_length_b 3.467
_cell_length_c 7.203
_cell_angle_alpha 90.00
_cell_angle_beta 105.32
_cell_angle_gamma 90.00
_symmetry_space_group_name_H-M 'P 1 m 1'
_symmetry_Int_Tables_number 6
_symmetry_space_group_name_Hall 'P -2y'
loop_
_atom_site_label
_atom_site_type_symbol
_atom_site_fract_x
_atom_site_fract_y
_atom_site_fract_z
_atom_site_occupancy
Tl1 Tl 0.000 0.000 0.000 1
Tl2 Tl 0.325 0.500 0.658 1
Si1 Si 0.719 0.000 0.439 1
P1 P 0.611 0.500 0.230 1
```

***

Most stable structure - #two; separation to the second - 0.305 eV/atom.